(1)
PuSO: relaxed, PBE-GGA.

## Properties
The calculated density is 9.7 g/cm3. The calculation puts the total moment at 4.0 μB/cell. Its formation energy (no corrections) is -2167 meV per atom. The volume comes out at 16.8 A^3/atom.

```
data_PuSO
_chemical_formula_sum 'Pu1 S1 O1'
_cell_length_a 3.8047
_cell_length_b 3.8047
_cell_length_c 4.0084
_cell_angle_alpha 90.00
_cell_angle_beta 90.00
_cell_angle_gamma 120.00
_space_group_name_H-M_alt 'P -6 m 2'
_space_group_IT_number 187
_space_group_name_Hall 'P -6 2'
loop_
_atom_site_label
_atom_site_fract_x
_atom_site_fract_y
_atom_site_fract_z
Pu1 0.0000 0.0000 0.0000
S1 0.6667 0.3333 0.5000
O1 0.3333 0.6667 0.0000
```

---

(2)
CuIr2W: relaxed, PBE-GGA.

## Properties
The calculated density is 18.2 g/cm3. The calculation puts the formation energy at -0.1155 eV per atom. The calculation puts the total moment at 0.0 μB/cell. Its offset from the most stable computed form is 43 meV per atom. The volume comes out at 14.4 A^3/atom.

```
data_CuIr2W
_chemical_formula_sum 'Cu1 Ir2 W1'
_cell_length_a 2.810
_cell_length_b 2.810
_cell_length_c 7.290
_cell_angle_alpha 90.00
_cell_angle_beta 90.00
_cell_angle_gamma 90.00
_space_group_name_H-M_alt 'P 4/m m m'
_space_group_IT_number 123
_space_group_name_Hall '-P 4 2'
loop_
_atom_site_label
_atom_site_fract_x
_atom_site_fract_y
_atom_site_fract_z
Cu1 0.000 0.000 0.000
Ir1 0.500 0.500 0.246
W1 0.000 0.000 0.500
```

---

(3)
NdP12Ru4: relaxed, PBE-GGA.

## Properties
The calculated density is 5.8 g/cm3. The calculation puts the formation energy at -0.6552 eV per atom. The calculation puts the total moment at 0.0 μB/cell. The volume comes out at 15.6 A^3/atom.

```
data_NdP12Ru4
_chemical_formula_sum 'Nd2 P24 Ru8'
_cell_length_a 8.098
_cell_length_b 8.098
_cell_length_c 8.098
_cell_angle_alpha 90.00
_cell_angle_beta 90.00
_cell_angle_gamma 90.00
_space_group_name_H-M_alt 'I m -3'
_space_group_IT_number 204
_space_group_name_Hall '-I 2 2 3'
loop_
_atom_site_label
_atom_site_fract_x
_atom_site_fract_y
_atom_site_fract_z
Nd1 0.000 0.000 0.000
P1 0.000 0.144 0.358
Ru1 0.250 0.250 0.250
```

---

(4)
Pm2CoCu2: relaxed, PBE-GGA.

## Properties
The calculated density is 7.7 g/cm3. The calculation puts the formation energy at -0.1384 eV per atom. The calculation puts the total moment at 0.0 μB/cell. The volume comes out at 20.6 A^3/atom.

```
data_Pm2CoCu2
_chemical_formula_sum 'Pm8 Co4 Cu8'
_cell_length_a 10.519
_cell_length_b 3.961
_cell_length_c 11.186
_cell_angle_alpha 90.00
_cell_angle_beta 117.87
_cell_angle_gamma 90.00
_space_group_name_H-M_alt 'C 1 2/m 1'
_space_group_IT_number 12
_space_group_name_Hall '-C 2y'
loop_
_atom_site_label
_atom_site_fract_x
_atom_site_fract_y
_atom_site_fract_z
Pm1 0.059 0.000 0.358
Pm2 0.206 0.000 0.118
Co1 0.234 0.500 0.311
Cu1 0.006 0.500 0.886
Cu2 0.128 0.500 0.583
```

---

(5)
LaPr3Al: relaxed, PBE-GGA.

## Properties
The calculated density is 6.0 g/cm3. The calculation puts the formation energy at -0.1124 eV per atom. The calculation puts the total moment at 0.0 μB/cell. Its offset from the most stable computed form is 0 meV per atom. The volume comes out at 32.7 A^3/atom.

```
data_LaPr3Al
_chemical_formula_sum 'La2 Pr6 Al2'
_cell_length_a 3.838
_cell_length_b 8.797
_cell_length_c 10.120
_cell_angle_alpha 77.01
_cell_angle_beta 79.09
_cell_angle_gamma 89.96
_space_group_name_H-M_alt 'P -1'
_space_group_IT_number 2
_space_group_name_Hall '-P 1'
loop_
_atom_site_label
_atom_site_fract_x
_atom_site_fract_y
_atom_site_fract_z
La1 0.096 0.036 0.313
Pr1 0.301 0.182 0.896
Pr2 0.314 0.618 0.871
Pr3 0.498 0.700 0.504
Al1 0.102 0.568 0.297
```

---

(6)
Zr3SbMo: relaxed, PBE-GGA.

## Properties
The calculated density is 6.4 g/cm3. The calculation puts the total moment at 0.0 μB/cell. Its offset from the most stable computed form is 0 meV per atom. Its formation energy (no corrections) is 486 meV per atom. The volume comes out at 25.6 A^3/atom.

```
data_Zr3SbMo
_chemical_formula_sum 'Zr3 Sb1 Mo1'
_cell_length_a 5.037
_cell_length_b 5.037
_cell_length_c 5.037
_cell_angle_alpha 90.00
_cell_angle_beta 90.00
_cell_angle_gamma 90.00
_space_group_name_H-M_alt 'P m -3 m'
_space_group_IT_number 221
_space_group_name_Hall '-P 4 2 3'
loop_
_atom_site_label
_atom_site_fract_x
_atom_site_fract_y
_atom_site_fract_z
Zr1 0.000 0.000 0.500
Sb1 0.500 0.500 0.500
Mo1 0.000 0.000 0.000
```

---

(7)
ZrBeZn2: relaxed, PBE-GGA.

## Properties
The calculated density is 6.2 g/cm3. The calculation puts the formation energy at -0.0257 eV per atom. The calculation puts the total moment at 0.0 μB/cell. The volume comes out at 15.4 A^3/atom.

```
data_ZrBeZn2
_chemical_formula_sum 'Zr1 Be1 Zn2'
_cell_length_a 2.882
_cell_length_b 4.095
_cell_length_c 5.354
_cell_angle_alpha 90.00
_cell_angle_beta 102.02
_cell_angle_gamma 90.00
_space_group_name_H-M_alt 'P 1 2/m 1'
_space_group_IT_number 10
_space_group_name_Hall '-P 2y'
loop_
_atom_site_label
_atom_site_fract_x
_atom_site_fract_y
_atom_site_fract_z
Zr1 0.000 0.000 0.000
Be1 0.500 0.000 0.500
Zn1 0.366 0.500 0.716
```

---

(8)
CsBaPu2O8: relaxed, PBE-GGA.

## Properties
The calculated density is 5.4 g/cm3. The calculation puts the total moment at 3.0 μB/cell. Its formation energy (no corrections) is -2112 meV per atom. The volume comes out at 22.8 A^3/atom.

```
data_CsBaPu2O8
_chemical_formula_sum 'Cs1 Ba1 Pu2 O8'
_cell_length_a 6.3850
_cell_length_b 6.3850
_cell_length_c 7.7421
_cell_angle_alpha 90.00
_cell_angle_beta 90.00
_cell_angle_gamma 120.00
_space_group_name_H-M_alt 'P -3'
_space_group_IT_number 147
_space_group_name_Hall '-P 3'
loop_
_atom_site_label
_atom_site_fract_x
_atom_site_fract_y
_atom_site_fract_z
Cs1 0.0000 0.0000 0.0000
Ba1 0.0000 0.0000 0.5000
Pu1 0.3333 0.6667 0.4567
O1 0.0634 0.4027 0.6134
O2 0.3333 0.6667 0.2150
```

---

(9)
Dy5Al2Te2: relaxed, PBE-GGA.

## Properties
The calculated density is 7.6 g/cm3. The calculation puts the total moment at 0.0 μB/cell. Its formation energy (no corrections) is -802 meV per atom. The volume comes out at 27.2 A^3/atom.

```
data_Dy5Al2Te2
_chemical_formula_sum 'Dy20 Al8 Te8'
_cell_length_a 15.486
_cell_length_b 7.934
_cell_length_c 7.959
_cell_angle_alpha 90.00
_cell_angle_beta 90.00
_cell_angle_gamma 90.00
_space_group_name_H-M_alt 'C m c e'
_space_group_IT_number 64
_space_group_name_Hall '-C 2ac 2'
loop_
_atom_site_label
_atom_site_fract_x
_atom_site_fract_y
_atom_site_fract_z
Dy1 0.000 0.000 0.000
Dy2 0.131 0.169 0.331
Al1 0.000 0.123 0.621
Te1 0.205 0.000 0.000
```

---

(10)
MgReI2O: relaxed, PBE-GGA.

## Properties
The calculated density is 6.2 g/cm3. The calculation puts the total moment at 1.9 μB/cell. Its offset from the most stable computed form is 515 meV per atom. Its formation energy (no corrections) is 330 meV per atom. The volume comes out at 25.9 A^3/atom.

```
data_MgReI2O
_chemical_formula_sum 'Mg1 Re1 I2 O1'
_cell_length_a 5.908
_cell_length_b 5.908
_cell_length_c 3.703
_cell_angle_alpha 90.00
_cell_angle_beta 90.00
_cell_angle_gamma 90.00
_space_group_name_H-M_alt 'P 4/m m m'
_space_group_IT_number 123
_space_group_name_Hall '-P 4 2'
loop_
_atom_site_label
_atom_site_fract_x
_atom_site_fract_y
_atom_site_fract_z
Mg1 0.000 0.000 0.000
Re1 0.500 0.500 0.000
I1 0.000 0.500 0.500
O1 0.500 0.500 0.500
```

---

(11)
Cd4PW: relaxed, PBE-GGA.

## Properties
The calculated density is 9.1 g/cm3. The calculation puts the formation energy at 0.9366 eV per atom. The calculation puts the total moment at 7.6 μB/cell. The volume comes out at 20.3 A^3/atom.

```
data_Cd4PW
_chemical_formula_sum 'Cd16 P4 W4'
_cell_length_a 7.868
_cell_length_b 7.868
_cell_length_c 7.868
_cell_angle_alpha 90.00
_cell_angle_beta 90.00
_cell_angle_gamma 90.00
_space_group_name_H-M_alt 'F -4 3 m'
_space_group_IT_number 216
_space_group_name_Hall 'F -4 2 3'
loop_
_atom_site_label
_atom_site_fract_x
_atom_site_fract_y
_atom_site_fract_z
Cd1 0.125 0.125 0.125
P1 0.250 0.250 0.750
W1 0.000 0.000 0.500
```

---

(12)
ErHf4Sc8: relaxed, PBE-GGA.

## Properties
The calculated density is 6.2 g/cm3. The calculation puts the formation energy at 0.2902 eV per atom. The calculation puts the total moment at 0.0 μB/cell. The volume comes out at 25.4 A^3/atom.

```
data_ErHf4Sc8
_chemical_formula_sum 'Er2 Hf8 Sc16'
_cell_length_a 10.776
_cell_length_b 6.242
_cell_length_c 9.812
_cell_angle_alpha 90.00
_cell_angle_beta 90.13
_cell_angle_gamma 90.00
_space_group_name_H-M_alt 'C 1 2/m 1'
_space_group_IT_number 12
_space_group_name_Hall '-C 2y'
loop_
_atom_site_label
_atom_site_fract_x
_atom_site_fract_y
_atom_site_fract_z
Er1 0.000 0.000 0.000
Hf1 0.000 0.000 0.500
Hf2 0.000 0.500 0.500
Hf3 0.250 0.250 0.500
Sc1 0.084 0.253 0.758
Sc2 0.166 0.500 0.083
Sc3 0.169 0.000 0.242
```

---

(13)
Ac3Be2Ge4: relaxed, PBE-GGA.

## Properties
The calculated density is 7.8 g/cm3. The calculation puts the formation energy at -0.4906 eV per atom. The calculation puts the total moment at 0.0 μB/cell. Its offset from the most stable computed form is 103 meV per atom. The volume comes out at 23.3 A^3/atom.

```
data_Ac3Be2Ge4
_chemical_formula_sum 'Ac6 Be4 Ge8'
_cell_length_a 11.937
_cell_length_b 4.241
_cell_length_c 8.748
_cell_angle_alpha 90.00
_cell_angle_beta 108.54
_cell_angle_gamma 90.00
_space_group_name_H-M_alt 'C 1 2/m 1'
_space_group_IT_number 12
_space_group_name_Hall '-C 2y'
loop_
_atom_site_label
_atom_site_fract_x
_atom_site_fract_y
_atom_site_fract_z
Ac1 0.000 0.000 0.000
Ac2 0.115 0.500 0.682
Be1 0.188 0.500 0.333
Ge1 0.126 0.000 0.399
Ge2 0.219 0.500 0.067
```

---

(14)
LiGaSi: relaxed, PBE-GGA.

## Properties
The calculated density is 3.7 g/cm3. The calculation puts the total moment at 0.0 μB/cell. Its formation energy (no corrections) is -87 meV per atom. The volume comes out at 15.5 A^3/atom.

```
data_LiGaSi
_chemical_formula_sum 'Li2 Ga2 Si2'
_cell_length_a 5.172
_cell_length_b 2.695
_cell_length_c 6.756
_cell_angle_alpha 90.00
_cell_angle_beta 98.18
_cell_angle_gamma 90.00
_space_group_name_H-M_alt 'P 1 m 1'
_space_group_IT_number 6
_space_group_name_Hall 'P -2y'
loop_
_atom_site_label
_atom_site_fract_x
_atom_site_fract_y
_atom_site_fract_z
Li1 0.000 0.000 0.000
Li2 0.369 0.000 0.378
Ga1 0.495 0.500 0.045
Ga2 0.683 0.500 0.684
Si1 0.182 0.500 0.681
Si2 0.887 0.500 0.343
```

---

(15)
CdAgIr: relaxed, PBE-GGA.

## Properties
The calculated density is 10.9 g/cm3. The calculation puts the formation energy at 0.6234 eV per atom. The calculation puts the total moment at 0.0 μB/cell. Its offset from the most stable computed form is 395 meV per atom. The volume comes out at 20.9 A^3/atom.

```
data_CdAgIr
_chemical_formula_sum 'Cd4 Ag4 Ir4'
_cell_length_a 6.311
_cell_length_b 6.311
_cell_length_c 6.311
_cell_angle_alpha 90.00
_cell_angle_beta 90.00
_cell_angle_gamma 90.00
_space_group_name_H-M_alt 'F -4 3 m'
_space_group_IT_number 216
_space_group_name_Hall 'F -4 2 3'
loop_
_atom_site_label
_atom_site_fract_x
_atom_site_fract_y
_atom_site_fract_z
Cd1 0.000 0.000 0.000
Ag1 0.000 0.000 0.500
Ir1 0.250 0.250 0.250
```

---

(16)
BaSBr2: relaxed, PBE-GGA.

## Properties
The calculated density is 4.4 g/cm3. The calculation puts the total moment at 6.0 μB/cell. Its offset from the most stable computed form is 0 meV per atom. Its formation energy (no corrections) is -989 meV per atom. The volume comes out at 31.1 A^3/atom.

```
data_BaSBr2
_chemical_formula_sum 'Ba3 S3 Br6'
_cell_length_a 5.4352
_cell_length_b 5.4352
_cell_length_c 14.5795
_cell_angle_alpha 90.00
_cell_angle_beta 90.00
_cell_angle_gamma 120.00
_space_group_name_H-M_alt 'R -3 m'
_space_group_IT_number 166
_space_group_name_Hall '-R 3 2"'
loop_
_atom_site_label
_atom_site_fract_x
_atom_site_fract_y
_atom_site_fract_z
Ba1 0.0000 0.0000 0.0000
S1 0.0000 0.0000 0.5000
Br1 0.0000 0.0000 0.2388
```

---

(17)
K3Pb2Au3: relaxed, PBE-GGA.

## Properties
The calculated density is 7.5 g/cm3. The calculation puts the formation energy at -0.2081 eV per atom. The calculation puts the total moment at 0.0 μB/cell. The volume comes out at 31.2 A^3/atom.

```
data_K3Pb2Au3
_chemical_formula_sum 'K12 Pb8 Au12'
_cell_length_a 4.548
_cell_length_b 12.341
_cell_length_c 17.803
_cell_angle_alpha 90.00
_cell_angle_beta 90.00
_cell_angle_gamma 90.00
_space_group_name_H-M_alt 'C m c m'
_space_group_IT_number 63
_space_group_name_Hall '-C 2c 2'
loop_
_atom_site_label
_atom_site_fract_x
_atom_site_fract_y
_atom_site_fract_z
K1 0.000 0.123 0.250
K2 0.000 0.149 0.052
Pb1 0.000 0.152 0.655
Au1 0.000 0.410 0.250
Au2 0.000 0.455 0.072
```

---

(18)
RbS: relaxed, PBE-GGA.

## Properties
The calculated density is 2.8 g/cm3. The calculation puts the total moment at 0.0 μB/cell. Its formation energy (no corrections) is -837 meV per atom. The volume comes out at 34.3 A^3/atom.

```
data_RbS
_chemical_formula_sum 'Rb4 S4'
_cell_length_a 9.383
_cell_length_b 6.221
_cell_length_c 6.222
_cell_angle_alpha 90.00
_cell_angle_beta 130.95
_cell_angle_gamma 90.00
_space_group_name_H-M_alt 'C 1 2/m 1'
_space_group_IT_number 12
_space_group_name_Hall '-C 2y'
loop_
_atom_site_label
_atom_site_fract_x
_atom_site_fract_y
_atom_site_fract_z
Rb1 0.000 0.000 0.000
Rb2 0.000 0.500 0.500
S1 0.152 0.000 0.651
```

---

(19)
Ba2MnTc: relaxed, PBE-GGA.

## Properties
The calculated density is 5.7 g/cm3. The calculation puts the formation energy at 0.6044 eV per atom. The calculation puts the total moment at 2.9 μB/cell. Its offset from the most stable computed form is 201 meV per atom. The volume comes out at 31.0 A^3/atom.

```
data_Ba2MnTc
_chemical_formula_sum 'Ba2 Mn1 Tc1'
_cell_length_a 3.453
_cell_length_b 3.811
_cell_length_c 9.431
_cell_angle_alpha 90.00
_cell_angle_beta 92.01
_cell_angle_gamma 90.00
_space_group_name_H-M_alt 'P 1 m 1'
_space_group_IT_number 6
_space_group_name_Hall 'P -2y'
loop_
_atom_site_label
_atom_site_fract_x
_atom_site_fract_y
_atom_site_fract_z
Ba1 0.000 0.000 0.000
Ba2 0.248 0.500 0.576
Mn1 0.507 0.500 0.253
Tc1 0.909 0.000 0.319
```

---

(20)
ZrGa2Ni2: relaxed, PBE-GGA.

## Properties
The calculated density is 7.6 g/cm3. The calculation puts the formation energy at -0.4343 eV per atom. The calculation puts the total moment at 0.0 μB/cell. The volume comes out at 15.1 A^3/atom.

```
data_ZrGa2Ni2
_chemical_formula_sum 'Zr2 Ga4 Ni4'
_cell_length_a 3.812
_cell_length_b 3.812
_cell_length_c 10.420
_cell_angle_alpha 90.00
_cell_angle_beta 90.00
_cell_angle_gamma 90.00
_space_group_name_H-M_alt 'I 4/m m m'
_space_group_IT_number 139
_space_group_name_Hall '-I 4 2'
loop_
_atom_site_label
_atom_site_fract_x
_atom_site_fract_y
_atom_site_fract_z
Zr1 0.000 0.000 0.000
Ga1 0.000 0.000 0.383
Ni1 0.000 0.500 0.250
```